[1]
Below is a geometry-optimized LiLa5Pb3 structure, with properties calculated at the PBE level.

abc: 6.854 9.918 9.917
angles: 120.00 90.00 90.00
Atoms (fractional coordinates):
Li 0.000 0.000 0.000
Li 0.500 0.000 0.000
La 0.000 0.667 0.333
La 0.500 0.333 0.667
La 0.000 0.333 0.667
La 0.500 0.667 0.333
La 0.750 0.690 0.691
La 0.750 0.000 0.309
La 0.750 0.309 0.000
La 0.250 0.310 0.309
La 0.250 0.000 0.691
La 0.250 0.691 0.000
Pb 0.750 0.350 0.350
Pb 0.750 0.000 0.650
Pb 0.750 0.650 0.000
Pb 0.250 0.650 0.650
Pb 0.250 0.000 0.350
Pb 0.250 0.350 0.000

Output
- Calculated formation energy: -0.482 eV/atom

[2]
Below is a geometry-optimized Li2LaPb3 structure, with properties calculated at the PBE level.

abc: 5.066 5.066 14.394
angles: 90.00 90.00 120.00
Atoms (fractional coordinates):
Li 0.667 0.333 0.409
Li 0.333 0.667 0.591
Li 0.333 0.667 0.909
Li 0.667 0.333 0.091
La 0.000 0.000 0.250
La 0.000 0.000 0.750
Pb 0.000 0.000 0.500
Pb 0.000 0.000 0.000
Pb 0.667 0.333 0.633
Pb 0.333 0.667 0.133
Pb 0.667 0.333 0.867
Pb 0.333 0.667 0.367

Output
- Calculated formation energy: -0.371 eV/atom

[3]
Below is a geometry-optimized Li3LaPb3 structure, with properties calculated at the PBE level.

abc: 7.298 7.298 7.298
angles: 90.00 90.00 90.00
Atoms (fractional coordinates):
Pb 0.250 0.000 0.500
Pb 0.000 0.500 0.250
Pb 0.500 0.750 0.000
Pb 0.750 0.000 0.500
Pb 0.000 0.500 0.750
Pb 0.500 0.250 0.000
Li 0.000 0.250 0.500
Li 0.000 0.750 0.500
Li 0.500 0.000 0.750
Li 0.750 0.500 0.000
Li 0.500 0.000 0.250
Li 0.250 0.500 0.000
La 0.500 0.500 0.500
La 0.000 0.000 0.000

Output
- Calculated formation energy: 0.076 eV/atom

Which of these has the highest calculated formation energy?
Li3LaPb3

Which of these has the highest calculated formation energy?
Li3LaPb3

Which formula does entry 3 have?
Li3LaPb3